1.
Na2RhAu | Alexandria | PBEsol | relaxed; V = 70 Å³ per cell; ΔE_f = 0.41 eV/atom; uncorrected energy = -3.30 eV per atom
1.0
0.0000 3.2679 3.2679
3.2679 0.0000 3.2679
3.2679 3.2679 0.0000
Na Rh Au
2 1 1
Direct
0.2500 0.2500 0.2500 Na
0.7500 0.7500 0.7500 Na
0.0000 0.0000 0.0000 Rh
0.5000 0.5000 0.5000 Au

=====

2.
NaRuAu3 | Alexandria | PBEsol | relaxed; V = 98 Å³ per cell; ΔE_f = 1.60 eV/atom; uncorrected energy = -3.07 eV per atom
1.0
4.6131 0.0000 0.0000
0.0000 4.6131 0.0000
0.0000 0.0000 4.6131
Na Ru Au
1 1 3
Direct
0.0000 0.0000 0.0000 Na
0.5000 0.5000 0.5000 Ru
0.0000 0.0000 0.5000 Au
0.0000 0.5000 0.0000 Au
0.5000 0.0000 0.0000 Au

=====

3.
Na2ZnRuAu | Alexandria | PBEsol | relaxed; V = 112 Å³ per cell; ΔE_f = 1.15 eV/atom; uncorrected energy = -2.54 eV per atom
1.0
4.8738 0.0000 0.0000
0.0000 4.8738 0.0000
0.0000 0.0000 4.6957
Na Zn Ru Au
2 1 1 1
Direct
0.0000 0.5000 0.0000 Na
0.5000 0.0000 0.0000 Na
0.0000 0.0000 0.0000 Zn
0.5000 0.5000 0.5000 Ru
0.0000 0.0000 0.5000 Au

=====

4.
Na7Au5S6 | Alexandria | PBEsol | relaxed; V = 1624 Å³ per cell; formation energy from raw total energies = -0.72 eV per atom; uncorrected energy = -3.81 eV per atom
1.0
10.3941 0.0000 0.0000
0.0000 7.0038 0.0000
0.0000 0.0000 22.3047
Na Au S
28 20 24
Direct
0.0000 0.0037 0.2500 Na
0.0000 0.9963 0.7500 Na
0.1078 0.3751 0.0434 Na
0.1078 0.6249 0.5434 Na
0.1211 0.1637 0.6200 Na
0.1211 0.8363 0.1200 Na
0.2411 0.0055 0.9084 Na
0.2411 0.9945 0.4084 Na
0.2589 0.4945 0.4084 Na
0.2589 0.5055 0.9084 Na
0.3789 0.3363 0.1200 Na
0.3789 0.6637 0.6200 Na
0.3922 0.1249 0.5434 Na
0.3922 0.8751 0.0434 Na
0.5000 0.4963 0.7500 Na
0.5000 0.5037 0.2500 Na
0.6078 0.1249 0.9566 Na
0.6078 0.8751 0.4566 Na
0.6211 0.3363 0.3800 Na
0.6211 0.6637 0.8800 Na
0.7411 0.4945 0.0916 Na
0.7411 0.5055 0.5916 Na
0.7589 0.0055 0.5916 Na
0.7589 0.9945 0.0916 Na
0.8789 0.1637 0.8800 Na
0.8789 0.8363 0.3800 Na
0.8922 0.3751 0.4566 Na
0.8922 0.6249 0.9566 Na
0.0000 0.0000 0.0000 Au
0.0000 0.0000 0.5000 Au
0.0035 0.4704 0.1719 Au
0.0035 0.5296 0.6719 Au
0.2411 0.2757 0.7459 Au
0.2411 0.7243 0.2459 Au
0.2589 0.2243 0.2459 Au
0.2589 0.7757 0.7459 Au
0.4965 0.0296 0.6719 Au
0.4965 0.9704 0.1719 Au
0.5000 0.5000 0.0000 Au
0.5000 0.5000 0.5000 Au
0.5035 0.0296 0.8281 Au
0.5035 0.9704 0.3281 Au
0.7411 0.2243 0.2541 Au
0.7411 0.7757 0.7541 Au
0.7589 0.2757 0.7541 Au
0.7589 0.7243 0.2541 Au
0.9965 0.4704 0.3281 Au
0.9965 0.5296 0.8281 Au
0.1218 0.2598 0.8320 S
0.1218 0.7402 0.3320 S
0.1341 0.2094 0.1610 S
0.1341 0.7906 0.6610 S
0.1436 0.2500 0.4978 S
0.1436 0.7500 0.9978 S
0.3564 0.2500 0.9978 S
0.3564 0.7500 0.4978 S
0.3659 0.2906 0.6610 S
0.3659 0.7094 0.1610 S
0.3782 0.2402 0.3320 S
0.3782 0.7598 0.8320 S
0.6218 0.2402 0.1680 S
0.6218 0.7598 0.6680 S
0.6341 0.2906 0.8390 S
0.6341 0.7094 0.3390 S
0.6436 0.2500 0.5022 S
0.6436 0.7500 0.0022 S
0.8564 0.2500 0.0022 S
0.8564 0.7500 0.5022 S
0.8659 0.2094 0.3390 S
0.8659 0.7906 0.8390 S
0.8782 0.2598 0.6680 S
0.8782 0.7402 0.1680 S

=====

5.
NaAuS | Alexandria | PBEsol | relaxed; V = 1080 Å³ per cell; formation energy from raw total energies = -0.64 eV per atom; uncorrected energy = -3.87 eV per atom
1.0
7.2912 -10.5187 0.0000
7.2912 10.5187 0.0000
0.0000 0.0000 7.0385
Na Au S
16 16 16
Direct
0.0045 0.5045 0.7500 Na
0.1228 0.2527 0.0834 Na
0.1379 0.8621 0.7500 Na
0.2473 0.3772 0.5834 Na
0.2527 0.1228 0.5834 Na
0.3621 0.6379 0.7500 Na
0.3772 0.2473 0.0834 Na
0.4955 0.9955 0.7500 Na
0.5045 0.0045 0.2500 Na
0.6228 0.7527 0.9166 Na
0.6379 0.3621 0.2500 Na
0.7473 0.8772 0.4166 Na
0.7527 0.6228 0.4166 Na
0.8621 0.1379 0.2500 Na
0.8772 0.7473 0.9166 Na
0.9955 0.4955 0.2500 Na
0.0000 0.0000 0.0000 Au
0.0000 0.0000 0.5000 Au
0.0072 0.7522 0.2836 Au
0.2478 0.9928 0.2164 Au
0.2500 0.7500 0.0347 Au
0.2500 0.7500 0.4653 Au
0.2522 0.5072 0.2164 Au
0.4928 0.7478 0.2836 Au
0.5000 0.5000 0.0000 Au
0.5000 0.5000 0.5000 Au
0.5072 0.2522 0.7164 Au
0.7478 0.4928 0.7836 Au
0.7500 0.2500 0.5347 Au
0.7500 0.2500 0.9653 Au
0.7522 0.0072 0.7836 Au
0.9928 0.2478 0.7164 Au
0.0586 0.6825 0.0118 S
0.0676 0.1898 0.4586 S
0.1825 0.5586 0.4882 S
0.1898 0.0676 0.9586 S
0.3102 0.4324 0.9586 S
0.3175 0.9414 0.4882 S
0.4324 0.3102 0.4586 S
0.4414 0.8175 0.0118 S
0.5586 0.1825 0.9882 S
0.5676 0.6898 0.5414 S
0.6825 0.0586 0.5118 S
0.6898 0.5676 0.0414 S
0.8102 0.9324 0.0414 S
0.8175 0.4414 0.5118 S
0.9324 0.8102 0.5414 S
0.9414 0.3175 0.9882 S

=====

6.
NaAuS3 | Alexandria | PBEsol | relaxed; V = 113 Å³ per cell; formation energy from raw total energies = 0.20 eV per atom; uncorrected energy = -3.50 eV per atom
1.0
4.8374 0.0000 0.0000
0.0000 4.8374 0.0000
0.0000 0.0000 4.8374
Na Au S
1 1 3
Direct
0.0000 0.0000 0.0000 Na
0.5000 0.5000 0.5000 Au
0.0000 0.5000 0.5000 S
0.5000 0.0000 0.5000 S
0.5000 0.5000 0.0000 S